An optimized crystal structure of Pa2MnNi12Ge3, computed with PBE.

abc: 6.3404 6.3404 6.3404
angles: 83.32 83.32 83.32
Last column: nearest neighbours and their distance in Å.
Atoms (fractional coordinates):
1 Pa 0.1642 0.1642 0.1642  9 Ni 2.47-2.76
2 Pa 0.8358 0.8358 0.8358  9 Ni 2.47-2.76
3 Mn 0.5000 0.5000 0.5000  6 Ni 2.45
4 Ni 0.1068 0.1068 0.6027  4 Ni 2.39-2.61, 2 Ge 2.54
5 Ni 0.1068 0.6027 0.1068  4 Ni 2.39-2.61, 2 Ge 2.54
6 Ni 0.1997 0.6977 0.6977  5 Ni 2.39-2.61, 1 Ge 2.42, 1 Mn 2.45, 1 Pa 2.47
7 Ni 0.3023 0.3023 0.8003  5 Ni 2.39-2.61, 1 Ge 2.42, 1 Mn 2.45, 1 Pa 2.47
8 Ni 0.3023 0.8003 0.3023  5 Ni 2.39-2.61, 1 Ge 2.42, 1 Mn 2.45, 1 Pa 2.47
9 Ni 0.3973 0.8932 0.8932  4 Ni 2.39-2.61, 2 Ge 2.54
10 Ni 0.6027 0.1068 0.1068  4 Ni 2.39-2.61, 2 Ge 2.54
11 Ni 0.6977 0.1997 0.6977  5 Ni 2.39-2.61, 1 Ge 2.42, 1 Mn 2.45, 1 Pa 2.47
12 Ni 0.6977 0.6977 0.1997  5 Ni 2.39-2.61, 1 Ge 2.42, 1 Mn 2.45, 1 Pa 2.47
13 Ni 0.8003 0.3023 0.3023  5 Ni 2.39-2.61, 1 Ge 2.42, 1 Mn 2.45, 1 Pa 2.47
14 Ni 0.8932 0.3973 0.8932  4 Ni 2.39-2.61, 2 Ge 2.54
15 Ni 0.8932 0.8932 0.3973  4 Ni 2.39-2.61, 2 Ge 2.54
16 Ge 0.0000 0.5000 0.5000  6 Ni 2.42-2.54
17 Ge 0.5000 0.0000 0.5000  6 Ni 2.42-2.54
18 Ge 0.5000 0.5000 0.0000  6 Ni 2.42-2.54

## Properties
Formation energy: -0.16 eV per atom
Crystal system: trigonal
Magnetization: 4.542 μB/cell

---

An optimized crystal structure of NaPdF, computed with PBE.

abc: 3.1877 3.1877 9.1731
angles: 90.00 90.00 90.00
Last column: nearest neighbours and their distance in Å.
Atoms (fractional coordinates):
1 Na 0.2500 0.2500 0.1339  5 F 2.25-2.40
2 Na 0.7500 0.7500 0.8661  5 F 2.25-2.40
3 Pd 0.2500 0.2500 0.5739  4 Pd 2.63, 1 F 2.73
4 Pd 0.7500 0.7500 0.4261  4 Pd 2.63, 1 F 2.73
5 F 0.2500 0.2500 0.8717  5 Na 2.25-2.40
6 F 0.7500 0.7500 0.1283  5 Na 2.25-2.40

## Properties
Energy above the most stable polymorph in this dataset: 10 meV per atom
Crystal system: tetragonal
Magnetization: 0.970 μB/cell
Formation energy (no corrections): -1456 meV/atom

---

An optimized crystal structure of LiNd6B3O14, computed with PBE.

abc: 8.7494 16.0967 12.4420
angles: 90.00 131.98 90.00
Last column: nearest neighbours and their distance in Å.
Atoms (fractional coordinates):
1 Li 0.1012 0.1152 0.4363  4 O 2.07-2.22
2 Li 0.1012 0.3848 0.9363  4 O 2.07-2.22
3 Li 0.8988 0.6152 0.0637  4 O 2.07-2.22
4 Li 0.8988 0.8848 0.5637  4 O 2.07-2.22
5 Nd 0.0205 0.6729 0.5513  5 O 2.35-2.59
6 Nd 0.0205 0.8271 0.0513  5 O 2.35-2.59
7 Nd 0.1591 0.6411 0.9255  6 O 2.36-2.54
8 Nd 0.1591 0.8589 0.4255  6 O 2.36-2.54
9 Nd 0.2361 0.5041 0.4363  7 O 2.38-2.55
10 Nd 0.2361 0.9959 0.9363  7 O 2.38-2.55
11 Nd 0.3343 0.0149 0.2827  7 O 2.37-2.55
12 Nd 0.3343 0.4851 0.7827  7 O 2.37-2.55
13 Nd 0.4127 0.6654 0.3308  5 O 2.32-2.44
14 Nd 0.4127 0.8346 0.8308  5 O 2.32-2.44
15 Nd 0.4431 0.1772 0.8065  7 O 2.31-2.55
16 Nd 0.4431 0.3228 0.3065  7 O 2.31-2.55
17 Nd 0.5569 0.6772 0.6935  7 O 2.31-2.55
18 Nd 0.5569 0.8228 0.1935  7 O 2.31-2.55
19 Nd 0.5873 0.1654 0.1692  5 O 2.32-2.44
20 Nd 0.5873 0.3346 0.6692  5 O 2.32-2.44
21 Nd 0.6657 0.5149 0.2173  7 O 2.37-2.55
22 Nd 0.6657 0.9851 0.7173  7 O 2.37-2.55
23 Nd 0.7639 0.0041 0.0637  7 O 2.38-2.55
24 Nd 0.7639 0.4959 0.5637  7 O 2.38-2.55
25 Nd 0.8409 0.1411 0.5745  6 O 2.36-2.54
26 Nd 0.8409 0.3589 0.0745  6 O 2.36-2.54
27 Nd 0.9795 0.1729 0.9487  5 O 2.35-2.59
28 Nd 0.9795 0.3271 0.4487  5 O 2.35-2.59
29 B 0.0418 0.1942 0.2261  3 O 1.39-1.41
30 B 0.0418 0.3058 0.7261  3 O 1.39-1.41
31 B 0.2043 0.0004 0.6432  3 O 1.38-1.40
32 B 0.2043 0.4996 0.1432  3 O 1.38-1.40
33 B 0.4619 0.1714 0.5303  3 O 1.38-1.40
34 B 0.4619 0.3286 0.0303  3 O 1.38-1.40
35 B 0.5381 0.6714 0.9697  3 O 1.38-1.40
36 B 0.5381 0.8286 0.4697  3 O 1.38-1.40
37 B 0.7957 0.9996 0.3568  3 O 1.38-1.40
38 B 0.7957 0.5004 0.8568  3 O 1.38-1.40
39 B 0.9582 0.6942 0.2739  3 O 1.39-1.41
40 B 0.9582 0.8058 0.7739  3 O 1.39-1.41
41 O 0.0434 0.7208 0.2176  1 B 1.39
42 O 0.0434 0.7792 0.7176  1 B 1.39
43 O 0.0524 0.1110 0.2011  1 B 1.39
44 O 0.0524 0.3890 0.7011  1 B 1.39
45 O 0.0678 0.5786 0.7181  4 Nd 2.36-2.42
46 O 0.0678 0.9214 0.2181  4 Nd 2.36-2.42
47 O 0.1087 0.2468 0.6818  1 B 1.41
48 O 0.1087 0.2532 0.1818  1 B 1.41
49 O 0.1422 0.0827 0.6152  1 B 1.38
50 O 0.1422 0.4173 0.1152  1 B 1.38
51 O 0.1708 0.5506 0.2153  1 B 1.38
52 O 0.1708 0.9494 0.7153  1 B 1.38
53 O 0.2812 0.7328 0.1197  4 Nd 2.32-2.41
54 O 0.2812 0.7672 0.6197  4 Nd 2.32-2.41
55 O 0.2875 0.5844 0.6219  4 Nd 2.35-2.41
56 O 0.2875 0.9156 0.1219  4 Nd 2.35-2.41
57 O 0.2957 0.0994 0.1051  4 Nd 2.36-2.45
58 O 0.2957 0.4006 0.6051  4 Nd 2.36-2.45
59 O 0.3053 0.5330 0.1011  1 B 1.40
60 O 0.3053 0.9670 0.6011  1 B 1.40
61 O 0.3649 0.1964 0.5778  1 B 1.38
62 O 0.3649 0.3036 0.0778  1 B 1.38
63 O 0.4479 0.7327 0.9912  1 B 1.40
64 O 0.4479 0.7673 0.4912  1 B 1.40
65 O 0.4731 0.0888 0.9656  4 Nd 2.31-2.38
66 O 0.4731 0.4112 0.4656  4 Nd 2.31-2.38
67 O 0.4912 0.0898 0.5119  1 B 1.39
68 O 0.4912 0.4102 0.0119  1 B 1.39
69 O 0.5088 0.5898 0.9881  1 B 1.39
70 O 0.5088 0.9102 0.4881  1 B 1.39
71 O 0.5269 0.5888 0.5344  4 Nd 2.31-2.38
72 O 0.5269 0.9112 0.0344  4 Nd 2.31-2.38
73 O 0.5521 0.2327 0.5088  1 B 1.40
74 O 0.5521 0.2673 0.0088  1 B 1.40
75 O 0.6351 0.6964 0.9222  1 B 1.38
76 O 0.6351 0.8036 0.4222  1 B 1.38
77 O 0.6947 0.0330 0.3989  1 B 1.40
78 O 0.6947 0.4670 0.8989  1 B 1.40
79 O 0.7043 0.5994 0.3949  4 Nd 2.36-2.45
80 O 0.7043 0.9006 0.8949  4 Nd 2.36-2.45
81 O 0.7125 0.0844 0.8781  4 Nd 2.35-2.41
82 O 0.7125 0.4156 0.3781  4 Nd 2.35-2.41
83 O 0.7188 0.2328 0.3803  4 Nd 2.32-2.41
84 O 0.7188 0.2672 0.8803  4 Nd 2.32-2.41
85 O 0.8292 0.0506 0.2847  1 B 1.38
86 O 0.8292 0.4494 0.7847  1 B 1.38
87 O 0.8578 0.5827 0.8848  1 B 1.38
88 O 0.8578 0.9173 0.3848  1 B 1.38
89 O 0.8913 0.7468 0.8182  1 B 1.41
90 O 0.8913 0.7532 0.3182  1 B 1.41
91 O 0.9322 0.0786 0.7819  4 Nd 2.36-2.42
92 O 0.9322 0.4214 0.2819  4 Nd 2.36-2.42
93 O 0.9476 0.6110 0.2989  1 B 1.39
94 O 0.9476 0.8890 0.7989  1 B 1.39
95 O 0.9566 0.2208 0.2824  1 B 1.39
96 O 0.9566 0.2792 0.7824  1 B 1.39

## Properties
Crystal system: monoclinic
Magnetization: 0.000 μB/cell
Formation energy (no corrections): -3088 meV/atom

---

An optimized crystal structure of K2InOs, computed with PBE.

abc: 6.1826 6.1826 6.1826
angles: 136.78 124.33 72.98
Last column: nearest neighbours and their distance in Å.
Atoms (fractional coordinates):
1 K 0.0000 0.0000 0.0000  4 K 3.52-3.73, 4 In 3.58-3.64, 4 Os 3.78
2 K 0.7029 0.2029 0.5000  4 K 3.52-3.73, 4 Os 3.56-3.68, 4 In 3.77
3 In 0.2862 0.7862 0.5000  2 Os 2.60
4 Os 0.4117 0.4117 0.0000  2 In 2.60

## Properties
Formation energy: 0.89 eV per atom
Crystal system: orthorhombic
Magnetization: 0.925 μB/cell

---

An optimized crystal structure of CoSiGe2, computed with PBE.

abc: 6.5918 6.5918 6.5918
angles: 130.39 130.39 72.78
Last column: nearest neighbours and their distance in Å.
Atoms (fractional coordinates):
1 Co 0.0000 0.0000 0.0000  4 Ge 2.29
2 Co 0.7500 0.2500 0.5000  4 Ge 2.29
3 Si 0.2500 0.7500 0.5000  4 Ge 2.44
4 Si 0.5000 0.5000 0.0000  4 Ge 2.44
5 Ge 0.1021 0.6250 0.9771  2 Co 2.29, 2 Si 2.44
6 Ge 0.3750 0.3521 0.4771  2 Co 2.29, 2 Si 2.44
7 Ge 0.6479 0.1250 0.0229  2 Co 2.29, 2 Si 2.44
8 Ge 0.8750 0.8979 0.5229  2 Co 2.29, 2 Si 2.44

## Properties
Crystal system: tetragonal
Magnetization: 0.000 μB/cell
Formation energy (no corrections): 369 meV/atom

---

An optimized crystal structure of CaB2Br, computed with PBE.

abc: 5.8768 5.8768 5.8768
angles: 102.46 102.46 124.64
Last column: nearest neighbours and their distance in Å.
Atoms (fractional coordinates):
1 Ca 0.0000 0.0000 0.0000  2 Br 2.73, 4 B 2.78
2 Ca 0.7500 0.2500 0.5000  2 Br 2.73, 4 B 2.78
3 B 0.1428 0.6250 0.0178  2 Br 2.60, 2 B 2.74, 2 Ca 2.78
4 B 0.3750 0.3928 0.5178  2 Br 2.60, 2 B 2.74, 2 Ca 2.78
5 B 0.6072 0.1250 0.9822  2 Br 2.60, 2 B 2.74, 2 Ca 2.78
6 B 0.8750 0.8572 0.4822  2 Br 2.60, 2 B 2.74, 2 Ca 2.78
7 Br 0.2500 0.7500 0.5000  4 B 2.60, 2 Ca 2.73
8 Br 0.5000 0.5000 0.0000  4 B 2.60, 2 Ca 2.73

## Properties
Energy above the most stable polymorph in this dataset: 0 meV per atom
Crystal system: tetragonal
Magnetization: 0.000 μB/cell
Formation energy (no corrections): 1260 meV/atom

---

An optimized crystal structure of GeTe4Rh, computed with PBE.

abc: 7.6631 7.6631 7.6631
angles: 106.66 106.66 115.26
Last column: nearest neighbours and their distance in Å.
Atoms (fractional coordinates):
1 Ge 0.0000 0.0000 0.0000  6 Te 2.76-2.85
2 Ge 0.7500 0.2500 0.5000  6 Te 2.76-2.85
3 Te 0.2053 0.5068 0.6985  2 Rh 2.70-2.76, 1 Ge 2.78
4 Te 0.2568 0.0583 0.8015  2 Rh 2.70-2.76, 1 Ge 2.78
5 Te 0.2568 0.4553 0.1985  2 Rh 2.70-2.76, 1 Ge 2.78
6 Te 0.2983 0.9876 0.3108  1 Rh 2.60, 2 Ge 2.76-2.85
7 Te 0.6768 0.9876 0.6892  1 Rh 2.60, 2 Ge 2.76-2.85
8 Te 0.7376 0.5483 0.8108  1 Rh 2.60, 2 Ge 2.76-2.85
9 Te 0.7376 0.9268 0.1892  1 Rh 2.60, 2 Ge 2.76-2.85
10 Te 0.8083 0.5068 0.3015  2 Rh 2.70-2.76, 1 Ge 2.78
11 Rh 0.2507 0.7507 0.5000  6 Te 2.60-2.76
12 Rh 0.5007 0.5007 0.0000  6 Te 2.60-2.76

## Properties
Energy above the most stable polymorph in this dataset: 239 meV per atom
Crystal system: tetragonal
Magnetization: 0.000 μB/cell
Formation energy (no corrections): 19 meV/atom

---

An optimized crystal structure of KScPd2, computed with PBE.

abc: 6.2780 6.2780 6.2780
angles: 104.78 104.78 119.33
Last column: nearest neighbours and their distance in Å.
Atoms (fractional coordinates):
1 K 0.0000 0.0000 0.0000  4 Pd 3.06, 2 Sc 3.17
2 K 0.7500 0.2500 0.5000  4 Pd 3.06, 2 Sc 3.17
3 Sc 0.2500 0.7500 0.5000  4 Pd 2.61
4 Sc 0.5000 0.5000 0.0000  4 Pd 2.61
5 Pd 0.1689 0.6250 0.0439  2 Sc 2.61
6 Pd 0.3750 0.4189 0.5439  2 Sc 2.61
7 Pd 0.5811 0.1250 0.9561  2 Sc 2.61
8 Pd 0.8750 0.8311 0.4561  2 Sc 2.61

## Properties
Energy above the most stable polymorph in this dataset: 61 meV per atom
Formation energy: -0.03 eV per atom
Crystal system: tetragonal
Magnetization: 0.000 μB/cell